# SmHf2Fe, relaxed, DFT PBE
# Theoretical density ... 10.95 g cm⁻³
# Crystal system ... tetragonal
# DFT formation energy ... 0.013 eV/atom
# Electronic total energy ... -33.0 eV/cell
data_SmHf2Fe
_chemical_formula_sum 'Sm1 Hf2 Fe1'
_cell_length_a 3.2300
_cell_length_b 3.2300
_cell_length_c 8.1862
_cell_angle_alpha 90.00
_cell_angle_beta 90.00
_cell_angle_gamma 90.00
_symmetry_space_group_name_H-M 'P 1'
_symmetry_Int_Tables_number 1
_symmetry_space_group_name_Hall 'P 1'
loop_
_atom_site_label
_atom_site_fract_x
_atom_site_fract_y
_atom_site_fract_z
_atom_site_occupancy
Sm1 0.0000 0.0000 0.0000 1
Hf1 0.5000 0.5000 0.3185 1
Hf2 0.5000 0.5000 0.6815 1
Fe1 0.0000 0.0000 0.5000 1

# TlCdFe2, relaxed, DFT PBE
# Theoretical density ... 9.53 g cm⁻³
# Crystal system ... trigonal
# DFT formation energy ... 0.451 eV/atom
# Electronic total energy ... -18.4 eV/cell
data_TlCdFe2
_chemical_formula_sum 'Tl1 Cd1 Fe2'
_cell_length_a 9.1528
_cell_length_b 9.1528
_cell_length_c 9.1528
_cell_angle_alpha 19.50
_cell_angle_beta 19.50
_cell_angle_gamma 19.50
_symmetry_space_group_name_H-M 'P 1'
_symmetry_Int_Tables_number 1
_symmetry_space_group_name_Hall 'P 1'
loop_
_atom_site_label
_atom_site_fract_x
_atom_site_fract_y
_atom_site_fract_z
_atom_site_occupancy
Tl1 0.0000 0.0000 0.0000 1
Cd1 0.2292 0.2292 0.2292 1
Fe1 0.4800 0.4800 0.4800 1
Fe2 0.7533 0.7533 0.7533 1

Question: theoretical density of number 2 (TlCdFe2)?
Answer: 9.53 g cm⁻³